# PmUBi2 | Alexandria | PBE | optimized geometry
data_PmUBi2
_cell_length_a 3.846
_cell_length_b 3.846
_cell_length_c 7.971
_cell_angle_alpha 90.00
_cell_angle_beta 90.00
_cell_angle_gamma 90.00
_symmetry_space_group_name_H-M 'P 4/m m m'
_symmetry_Int_Tables_number 123
_symmetry_space_group_name_Hall '-P 4 2'
loop_
_atom_site_label
_atom_site_type_symbol
_atom_site_fract_x
_atom_site_fract_y
_atom_site_fract_z
Pm1 Pm 0.000 0.000 0.000
U1 U 0.000 0.000 0.500
Bi1 Bi 0.500 0.500 0.256
# Total magnetic moment (μB per cell): 3.22
# Energy relative to the elements (eV per atom): -0.2619
# Final energy (eV/atom): -6.21

***

# Pm2UBi | Alexandria | PBE | optimized geometry
data_Pm2UBi
_cell_length_a 5.018
_cell_length_b 5.018
_cell_length_c 4.582
_cell_angle_alpha 90.00
_cell_angle_beta 90.00
_cell_angle_gamma 90.00
_symmetry_space_group_name_H-M 'P 4/m m m'
_symmetry_Int_Tables_number 123
_symmetry_space_group_name_Hall '-P 4 2'
loop_
_atom_site_label
_atom_site_type_symbol
_atom_site_fract_x
_atom_site_fract_y
_atom_site_fract_z
Pm1 Pm 0.000 0.500 0.000
U1 U 0.000 0.000 0.500
Bi1 Bi 0.500 0.500 0.500
# Total magnetic moment (μB per cell): 3.27
# Energy relative to the elements (eV per atom): -0.0108
# Final energy (eV/atom): -6.18

***

# Pm5UBi6 | Alexandria | PBE | optimized geometry
data_Pm5UBi6
_cell_length_a 7.905
_cell_length_b 13.708
_cell_length_c 7.910
_cell_angle_alpha 90.00
_cell_angle_beta 109.48
_cell_angle_gamma 90.00
_symmetry_space_group_name_H-M 'C 1 2/m 1'
_symmetry_Int_Tables_number 12
loop_
_symmetry_equiv_pos_as_xyz
'x,y,z'
'-x,-y,-z'
'-x,y,-z'
'x,-y,z'
'x+1/2,y+1/2,z'
'-x+1/2,-y+1/2,-z'
'-x+1/2,y+1/2,-z'
'x+1/2,-y+1/2,z'
loop_
_atom_site_label
_atom_site_type_symbol
_atom_site_fract_x
_atom_site_fract_y
_atom_site_fract_z
Pm1 Pm 0.000 0.000 0.000
Pm2 Pm 0.000 0.166 0.500
Pm3 Pm 0.000 0.331 0.000
U1 U 0.000 0.500 0.500
Bi1 Bi 0.246 0.500 0.252
Bi2 Bi 0.247 0.335 0.748
# Total magnetic moment (μB per cell): 5.26
# Energy relative to the elements (eV per atom): -0.7534
# Final energy (eV/atom): -5.61

***

# PmUBi2 | Alexandria | PBE | optimized geometry
data_PmUBi2
_cell_length_a 5.898
_cell_length_b 5.898
_cell_length_c 3.376
_cell_angle_alpha 90.00
_cell_angle_beta 90.00
_cell_angle_gamma 90.00
_symmetry_space_group_name_H-M 'P 4/m m m'
_symmetry_Int_Tables_number 123
_symmetry_space_group_name_Hall '-P 4 2'
loop_
_atom_site_label
_atom_site_type_symbol
_atom_site_fract_x
_atom_site_fract_y
_atom_site_fract_z
Pm1 Pm 0.000 0.000 0.000
U1 U 0.500 0.500 0.000
Bi1 Bi 0.000 0.500 0.500
# Total magnetic moment (μB per cell): 3.50
# Energy relative to the elements (eV per atom): -0.2599
# Final energy (eV/atom): -6.21

***

# PmUBi6 | Alexandria | PBE | optimized geometry
data_PmUBi6
_cell_length_a 4.551
_cell_length_b 4.713
_cell_length_c 23.501
_cell_angle_alpha 90.00
_cell_angle_beta 90.00
_cell_angle_gamma 90.00
_symmetry_space_group_name_H-M 'A m m 2'
_symmetry_Int_Tables_number 38
loop_
_symmetry_equiv_pos_as_xyz
'x,y,z'
'-x,-y,z'
'-x,y,z'
'x,-y,z'
'x,y+1/2,z+1/2'
'-x,-y+1/2,z+1/2'
'-x,y+1/2,z+1/2'
'x,-y+1/2,z+1/2'
loop_
_atom_site_label
_atom_site_type_symbol
_atom_site_fract_x
_atom_site_fract_y
_atom_site_fract_z
Pm1 Pm 0.000 0.000 0.000
U1 U 0.500 0.000 0.652
Bi1 Bi 0.000 0.000 0.137
Bi2 Bi 0.000 0.000 0.384
Bi3 Bi 0.000 0.000 0.760
Bi4 Bi 0.500 0.000 0.257
Bi5 Bi 0.500 0.000 0.517
Bi6 Bi 0.500 0.000 0.892
# Total magnetic moment (μB per cell): 5.66
# Energy relative to the elements (eV per atom): -0.1351
# Final energy (eV/atom): -5.05

***

# Pm2VBi | Alexandria | PBE | optimized geometry
data_Pm2VBi
_cell_length_a 7.655
_cell_length_b 7.655
_cell_length_c 7.655
_cell_angle_alpha 90.00
_cell_angle_beta 90.00
_cell_angle_gamma 90.00
_symmetry_space_group_name_H-M 'F m -3 m'
_symmetry_Int_Tables_number 225
_symmetry_space_group_name_Hall '-F 4 2 3'
loop_
_atom_site_label
_atom_site_type_symbol
_atom_site_fract_x
_atom_site_fract_y
_atom_site_fract_z
Pm1 Pm 0.250 0.250 0.250
V1 V 0.000 0.000 0.000
Bi1 Bi 0.000 0.000 0.500
# Total magnetic moment (μB per cell): 13.83
# Energy relative to the elements (eV per atom): -0.0082
# Final energy (eV/atom): -5.63